Record 1
Density functional theory data (PBE-GGA) for an optimized crystal structure of CdSiTe2N.

abc: 5.703 5.703 4.126
angles: 90.00 90.00 90.00
Space group P4/mmm (No. 123)
Inequivalent atoms, fractional coordinates:
Cd 0.000 0.000 0.000 (multiplicity 1)
Si 0.500 0.500 0.500 (multiplicity 1)
Te 0.000 0.500 0.000 (multiplicity 2)
N 0.000 0.000 0.500 (multiplicity 1)

Properties
DOS at the Fermi energy   3.2 states/eV/cell
Uncorrected formation energy   28.75 kcal/mol of atoms
ΔE to the lowest computed polymorph   1103 meV per atom

=====

Record 2
Density functional theory data (PBE-GGA) for an optimized crystal structure of CdSiTeN2.

abc: 3.755 3.755 5.943
angles: 90.00 90.00 90.00
Space group P4/mmm (No. 123)
Inequivalent atoms, fractional coordinates:
Cd 0.000 0.000 0.000 (multiplicity 1)
Si 0.500 0.500 0.500 (multiplicity 1)
Te 0.500 0.500 0.000 (multiplicity 1)
N 0.000 0.500 0.500 (multiplicity 2)

Properties
DOS at the Fermi energy   2.2 states/eV/cell
Uncorrected formation energy   17.89 kcal/mol of atoms
ΔE to the lowest computed polymorph   0 meV per atom

=====

Record 3
Density functional theory data (PBE-GGA) for an optimized crystal structure of CdSiTeN2.

abc: 4.262 4.262 6.326
angles: 90.00 90.00 90.00
Space group P4/mmm (No. 123)
Inequivalent atoms, fractional coordinates:
Cd 0.000 0.000 0.000 (multiplicity 1)
Si 0.500 0.500 0.500 (multiplicity 1)
Te 0.000 0.000 0.500 (multiplicity 1)
N 0.000 0.500 0.000 (multiplicity 2)

Properties
DOS at the Fermi energy   2.8 states/eV/cell
Uncorrected formation energy   42.00 kcal/mol of atoms
ΔE to the lowest computed polymorph   1046 meV per atom